No. 1
## ZrTi4N6 (PBE)

Data for a relaxed ZrTi4N6 crystal.

Unit cell a=5.1650 b=5.1650 c=15.2526 alpha=90.00 beta=90.00 gamma=146.33
Last column: nearest neighbours and their distance in Å.
Sites, in units of the cell vectors:
Zr 0.1510 0.8490 0.7500  6 N 2.20-2.28
Zr 0.8490 0.1510 0.2500  6 N 2.20-2.28
Ti 0.1015 0.8985 0.1326  5 N 1.98-2.10
Ti 0.1015 0.8985 0.3674  5 N 1.98-2.10
Ti 0.3652 0.6348 0.0455  6 N 2.02-2.22
Ti 0.3652 0.6348 0.4545  6 N 2.02-2.22
Ti 0.6348 0.3652 0.5455  6 N 2.02-2.22
Ti 0.6348 0.3652 0.9545  6 N 2.02-2.22
Ti 0.8985 0.1015 0.6326  5 N 1.98-2.10
Ti 0.8985 0.1015 0.8674  5 N 1.98-2.10
N 0.0000 0.0000 0.0000  6 Ti 2.12-2.26
N 0.0000 0.0000 0.5000  6 Ti 2.12-2.26
N 0.1862 0.8138 0.2500  2 Ti 1.98, 2 Zr 2.20
N 0.2687 0.7313 0.5856  5 Ti 2.09-2.22
N 0.2687 0.7313 0.9144  5 Ti 2.09-2.22
N 0.4598 0.5402 0.1626  3 Ti 2.02-2.10
N 0.4598 0.5402 0.3374  3 Ti 2.02-2.10
N 0.5402 0.4598 0.6626  3 Ti 2.02-2.10
N 0.5402 0.4598 0.8374  3 Ti 2.02-2.10
N 0.7313 0.2687 0.0856  5 Ti 2.09-2.22
N 0.7313 0.2687 0.4144  5 Ti 2.09-2.22
N 0.8138 0.1862 0.7500  2 Ti 1.98, 2 Zr 2.20

## Properties
Density of states at the Fermi level in states/eV/cell: 8.173
Raw formation energy in eV/atom: -1.57
Space group: Cmcm, No. 63
Raw total energy in eV per formula unit: -107.32



No. 2
## Zr2TiN2 (PBE)

Data for a relaxed Zr2TiN2 crystal.

Unit cell a=8.5836 b=8.5836 c=5.3556 alpha=90.00 beta=90.00 gamma=159.75
Last column: nearest neighbours and their distance in Å.
Sites, in units of the cell vectors:
Zr 0.0159 0.9841 0.5000  4 N 2.45-2.46, 2 Zr 2.73
Zr 0.1899 0.8101 0.3336  5 N 2.24-2.51
Zr 0.8101 0.1899 0.8336  5 N 2.24-2.51
Zr 0.9841 0.0159 0.0000  4 N 2.45-2.46, 2 Zr 2.73
Ti 0.3640 0.6360 0.3661  3 N 2.00-2.02
Ti 0.6360 0.3640 0.8661  3 N 2.00-2.02
N 0.2132 0.7868 0.8862  2 Ti 2.00
N 0.4206 0.5794 0.6976  1 Ti 2.02
N 0.5794 0.4206 0.1976  1 Ti 2.02
N 0.7868 0.2132 0.3862  2 Ti 2.00

## Properties
Density of states at the Fermi level in states/eV/cell: 5.972
Raw formation energy in eV/atom: -1.04
Space group: Cmc2_1, No. 36
Raw total energy in eV per formula unit: -46.84



No. 3
## ZrTiN2 (PBE)

Data for a relaxed ZrTiN2 crystal.

Unit cell a=6.2993 b=4.4575 c=7.3550 alpha=90.00 beta=90.00 gamma=90.00
Last column: nearest neighbours and their distance in Å.
Sites, in units of the cell vectors:
Zr 0.0903 0.2500 0.1254  5 N 2.14-2.23
Zr 0.4097 0.7500 0.6254  5 N 2.14-2.23
Zr 0.5903 0.2500 0.3746  5 N 2.14-2.23
Zr 0.9097 0.7500 0.8746  5 N 2.14-2.23
Ti 0.0754 0.2500 0.6251  5 N 2.00-2.23
Ti 0.4246 0.7500 0.1251  5 N 2.00-2.23
Ti 0.5754 0.2500 0.8749  5 N 2.00-2.23
Ti 0.9246 0.7500 0.3749  5 N 2.00-2.23
N 0.0682 0.7500 0.6170  3 Ti 2.00-2.23, 2 Zr 2.14-2.15
N 0.0946 0.7500 0.1312  2 Ti 2.08-2.09, 3 Zr 2.22-2.23
N 0.4054 0.2500 0.6312  2 Ti 2.08-2.09, 3 Zr 2.22-2.23
N 0.4318 0.2500 0.1170  3 Ti 2.00-2.23, 2 Zr 2.14-2.15
N 0.5682 0.7500 0.8830  3 Ti 2.00-2.23, 2 Zr 2.14-2.15
N 0.5946 0.7500 0.3688  2 Ti 2.08-2.09, 3 Zr 2.22-2.23
N 0.9054 0.2500 0.8688  2 Ti 2.08-2.09, 3 Zr 2.22-2.23
N 0.9318 0.2500 0.3830  3 Ti 2.00-2.23, 2 Zr 2.14-2.15

## Properties
Density of states at the Fermi level in states/eV/cell: 7.418
Raw formation energy in eV/atom: -1.54
Space group: Pnma, No. 62
Raw total energy in eV per formula unit: -39.24



No. 4
## ZrTi3N2 (PBE)

Data for a relaxed ZrTi3N2 crystal.

Unit cell a=6.6557 b=6.6557 c=10.2959 alpha=127.49 beta=127.49 gamma=27.32
Last column: nearest neighbours and their distance in Å.
Sites, in units of the cell vectors:
Zr 0.1170 0.1170 0.4371  5 N 2.25-2.32
Zr 0.8830 0.8830 0.5629  5 N 2.25-2.32
Ti 0.1237 0.1237 0.9328  2 N 2.11
Ti 0.3616 0.3616 0.2872  2 N 2.05-2.08
Ti 0.3709 0.3709 0.8043  3 N 2.04-2.09
Ti 0.6291 0.6291 0.1957  3 N 2.04-2.09
Ti 0.6384 0.6384 0.7128  2 N 2.05-2.08
Ti 0.8763 0.8763 0.0672  2 N 2.11
N 0.2448 0.2448 0.3580  3 Ti 2.05-2.09, 1 Zr 2.25
N 0.4925 0.4925 0.2340  4 Ti 2.04-2.11
N 0.5075 0.5075 0.7660  4 Ti 2.04-2.11
N 0.7552 0.7552 0.6420  3 Ti 2.05-2.09, 1 Zr 2.25

## Properties
Density of states at the Fermi level in states/eV/cell: 9.450
Raw formation energy in eV/atom: -1.18
Space group: C2/m, No. 12
Raw total energy in eV per formula unit: -55.95



No. 5
## ZrTi2N (PBE)

Data for a relaxed ZrTi2N crystal.

Unit cell a=4.8518 b=4.8518 c=3.0730 alpha=90.00 beta=90.00 gamma=122.29
Last column: nearest neighbours and their distance in Å.
Sites, in units of the cell vectors:
Zr 0.0000 0.0000 0.0000  2 N 2.34
Ti 0.3391 0.6609 0.5000  2 N 2.06
Ti 0.6609 0.3391 0.5000  2 N 2.06
N 0.5000 0.5000 0.0000  4 Ti 2.06

## Properties
Density of states at the Fermi level in states/eV/cell: 1.211
Raw formation energy in eV/atom: -0.99
Space group: Cmmm, No. 65
Raw total energy in eV per formula unit: -36.64



No. 6
## ZrTiN2 (PBE)

Data for a relaxed ZrTiN2 crystal.

Unit cell a=5.6710 b=5.6710 c=5.6710 alpha=31.74 beta=31.74 gamma=31.74
Last column: nearest neighbours and their distance in Å.
Sites, in units of the cell vectors:
Zr 0.0000 0.0000 0.0000  6 N 2.23-2.31
Ti 0.8229 0.8229 0.8229  6 N 2.15-2.27
N 0.4156 0.4156 0.4156  3 Ti 2.15, 3 Zr 2.23
N 0.5760 0.5760 0.5760  3 Ti 2.27, 3 Zr 2.31

## Properties
Density of states at the Fermi level in states/eV/cell: 0.287
Raw formation energy in eV/atom: -1.50
Space group: R3m, No. 160
Raw total energy in eV per formula unit: -39.11



No. 7
## ZrTi2N (PBE)

Data for a relaxed ZrTi2N crystal.

Unit cell a=8.1271 b=8.1271 c=8.1271 alpha=21.41 beta=21.41 gamma=21.41
Last column: nearest neighbours and their distance in Å.
Sites, in units of the cell vectors:
Zr 0.0000 0.0000 0.0000  2 Ti 2.83, 6 Zr 3.02
Ti 0.1187 0.1187 0.1187  3 N 2.08
Ti 0.8813 0.8813 0.8813  3 N 2.08
N 0.5000 0.5000 0.5000  6 Ti 2.08

## Properties
Density of states at the Fermi level in states/eV/cell: 3.128
Raw formation energy in eV/atom: -0.74
Space group: R-3m, No. 166
Raw total energy in eV per formula unit: -35.62



No. 8
## TlN (PBE)

Data for a relaxed TlN crystal.

Unit cell a=8.9572 b=8.9572 c=3.7952 alpha=90.00 beta=90.00 gamma=120.00
Last column: nearest neighbours and their distance in Å.
Sites, in units of the cell vectors:
Tl 0.0865 0.6833 0.2500  4 N 2.20-2.38
Tl 0.3167 0.4031 0.2500  4 N 2.20-2.38
Tl 0.4031 0.0865 0.7500  4 N 2.20-2.38
Tl 0.5969 0.9135 0.2500  4 N 2.20-2.38
Tl 0.6833 0.5969 0.7500  4 N 2.20-2.38
Tl 0.9135 0.3167 0.7500  4 N 2.20-2.38
N 0.0761 0.4131 0.2500  4 Tl 2.20-2.38
N 0.3370 0.9239 0.2500  4 Tl 2.20-2.38
N 0.4131 0.3370 0.7500  4 Tl 2.20-2.38
N 0.5869 0.6630 0.2500  4 Tl 2.20-2.38
N 0.6630 0.0761 0.7500  4 Tl 2.20-2.38
N 0.9239 0.5869 0.7500  4 Tl 2.20-2.38

## Properties
Density of states at the Fermi level in states/eV/cell: 0.560
Raw formation energy in eV/atom: 0.98
Space group: P6_3/m, No. 176
Raw total energy in eV per formula unit: -8.73



No. 9
## TlN (PBE)

Data for a relaxed TlN crystal.

Unit cell a=3.5081 b=3.5081 c=3.5081 alpha=60.00 beta=60.00 gamma=60.00
Last column: nearest neighbours and their distance in Å.
Sites, in units of the cell vectors:
Tl 0.0000 0.0000 0.0000  6 N 2.48
N 0.5000 0.5000 0.5000  6 Tl 2.48

## Properties
Density of states at the Fermi level in states/eV/cell: 1.149
Raw formation energy in eV/atom: 1.15
Space group: Fm-3m, No. 225
Raw total energy in eV per formula unit: -8.40



No. 10
## TlN (PBE)

Data for a relaxed TlN crystal.

Unit cell a=6.9736 b=6.9736 c=6.9736 alpha=94.31 beta=94.31 gamma=148.17
Last column: nearest neighbours and their distance in Å.
Sites, in units of the cell vectors:
Tl 0.1050 0.7197 0.8247  4 N 2.19-2.33
Tl 0.2803 0.1050 0.3853  4 N 2.19-2.33
Tl 0.7197 0.8950 0.6147  4 N 2.19-2.33
Tl 0.8950 0.2803 0.1753  4 N 2.19-2.33
N 0.1257 0.2904 0.4160  4 Tl 2.19-2.33
N 0.2904 0.8743 0.1647  4 Tl 2.19-2.33
N 0.7096 0.1257 0.8353  4 Tl 2.19-2.33
N 0.8743 0.7096 0.5840  4 Tl 2.19-2.33

## Properties
Density of states at the Fermi level in states/eV/cell: 0.806
Raw formation energy in eV/atom: 1.00
Space group: I4/m, No. 87
Raw total energy in eV per formula unit: -8.69



No. 11
## TlN (PBE)

Data for a relaxed TlN crystal.

Unit cell a=3.7364 b=3.7364 c=6.0580 alpha=90.00 beta=90.00 gamma=120.00
Last column: nearest neighbours and their distance in Å.
Sites, in units of the cell vectors:
Tl 0.3333 0.6667 0.0000  4 N 2.28-2.29
Tl 0.6667 0.3333 0.5000  4 N 2.28-2.29
N 0.3333 0.6667 0.6214  4 Tl 2.28-2.29
N 0.6667 0.3333 0.1214  4 Tl 2.28-2.29

## Properties
Density of states at the Fermi level in states/eV/cell: 0.372
Raw formation energy in eV/atom: 0.91
Space group: P6_3mc, No. 186
Raw total energy in eV per formula unit: -8.87



No. 12
## TlN (PBE)

Data for a relaxed TlN crystal.

Unit cell a=6.4648 b=6.4648 c=6.4648 alpha=90.00 beta=90.00 gamma=90.00
Last column: nearest neighbours and their distance in Å.
Sites, in units of the cell vectors:
Tl 0.0000 0.2500 0.5000  4 N 2.29
Tl 0.0000 0.7500 0.5000  4 N 2.29
Tl 0.2500 0.5000 0.0000  4 N 2.29
Tl 0.5000 0.0000 0.2500  4 N 2.29
Tl 0.5000 0.0000 0.7500  4 N 2.29
Tl 0.7500 0.5000 0.0000  4 N 2.29
N 0.0000 0.5000 0.2500  4 Tl 2.29
N 0.0000 0.5000 0.7500  4 Tl 2.29
N 0.2500 0.0000 0.5000  4 Tl 2.29
N 0.5000 0.2500 0.0000  4 Tl 2.29
N 0.5000 0.7500 0.0000  4 Tl 2.29
N 0.7500 0.0000 0.5000  4 Tl 2.29

## Properties
Density of states at the Fermi level in states/eV/cell: 1.971
Raw formation energy in eV/atom: 0.99
Space group: Pm-3n, No. 223
Raw total energy in eV per formula unit: -8.72



- Look up the raw total energy of the sixth one.
  -39.11 eV per formula unit



- raw formation energy of number 11 (TlN)?
  0.91 eV/atom